Mn3CoMo2: optimized geometry, PBE-GGA.

Cell lengths 4.7684, 4.7684, 4.7684 Å; angles 58.43, 58.43, 58.43 degrees
Fractional coordinates of all 6 atoms:
Mn (0.0000, 0.5000, 0.5000)
Mn (0.5000, 0.0000, 0.5000)
Mn (0.5000, 0.5000, 0.0000)
Co (0.5000, 0.5000, 0.5000)
Mo (0.1248, 0.1248, 0.1248)
Mo (0.8752, 0.8752, 0.8752)

***

TbEuHoTl: optimized geometry, PBE-GGA.

Cell lengths 5.5214, 5.5214, 5.5214 Å; angles 60.00, 60.00, 60.00 degrees
Fractional coordinates of all 4 atoms:
Tb (0.0000, 0.0000, 0.0000)
Eu (0.7500, 0.7500, 0.7500)
Ho (0.5000, 0.5000, 0.5000)
Tl (0.2500, 0.2500, 0.2500)

***

Sm2Y2Er5: optimized geometry, PBE-GGA.

Cell lengths 10.0502, 10.0502, 10.0502 Å; angles 84.53, 108.47, 141.13 degrees
Fractional coordinates of all 18 atoms:
Sm (0.0000, 0.0000, 0.0000)
Sm (0.0000, 0.5000, 0.5000)
Sm (0.8925, 0.6536, 0.7389)
Sm (0.9147, 0.1536, 0.2611)
Y (0.4477, 0.5794, 0.1209)
Y (0.4477, 0.8268, 0.3683)
Y (0.4585, 0.0794, 0.6317)
Y (0.4585, 0.3268, 0.8791)
Er (0.0442, 0.3545, 0.7949)
Er (0.0442, 0.7493, 0.1898)
Er (0.3496, 0.2560, 0.3782)
Er (0.3496, 0.4714, 0.5935)
Er (0.3591, 0.8604, 0.9987)
Er (0.5595, 0.2493, 0.2051)
Er (0.5595, 0.8545, 0.8102)
Er (0.8617, 0.3604, 0.0013)
Er (0.8778, 0.7560, 0.4065)
Er (0.8778, 0.9714, 0.6218)

***

no.,formation enthalpy at 0 K (eV per atom),DOS(E_F) (states/eV/f.u.)
1,-0.039,6.53
2,-0.022,5.94
3,0.213,14.60